# 1
{
  "formula": "Ac2Pm12Sm5",
  "functional": "PBE",
  "state": "optimized geometry",
  "de_polymorph_ev_per_atom": 0.006,
  "m_tot_mub_per_fu": 0.00,
  "delta_e_f_kj_per_mol_atoms": 10.76,
  "lattice_angstrom": [[6.680, -5.895, 0.000], [6.680, 5.895, 0.000], [-4.336, 0.000, 8.584]],
  "species": ["Ac", "Ac", "Pm", "Pm", "Pm", "Pm", "Pm", "Pm", "Pm", "Pm", "Pm", "Pm", "Pm", "Pm", "Sm", "Sm", "Sm", "Sm", "Sm"],
  "fractional_positions": [[0.235, 0.765, 0.000], [0.765, 0.235, 0.000], [0.064, 0.554, 0.197], [0.076, 0.076, 0.774], [0.110, 0.672, 0.575], [0.328, 0.890, 0.425], [0.372, 0.372, 0.056], [0.446, 0.936, 0.803], [0.554, 0.064, 0.197], [0.628, 0.628, 0.944], [0.672, 0.110, 0.575], [0.890, 0.328, 0.425], [0.924, 0.924, 0.226], [0.936, 0.446, 0.803], [0.192, 0.192, 0.240], [0.310, 0.310, 0.671], [0.500, 0.500, 0.500], [0.690, 0.690, 0.329], [0.808, 0.808, 0.760]]
}

---

# 2
{
  "formula": "Pr2Dy3Tm3",
  "functional": "PBE",
  "state": "optimized geometry",
  "de_polymorph_ev_per_atom": 0.000,
  "m_tot_mub_per_fu": 0.00,
  "delta_e_f_kj_per_mol_atoms": 14.07,
  "lattice_angstrom": [[2.789, -5.905, 0.000], [2.789, 5.905, 0.000], [0.000, 0.000, 16.026]],
  "species": ["Pr", "Pr", "Pr", "Pr", "Dy", "Dy", "Dy", "Dy", "Dy", "Dy", "Tm", "Tm", "Tm", "Tm", "Tm", "Tm"],
  "fractional_positions": [[0.219, 0.781, 0.628], [0.219, 0.781, 0.872], [0.781, 0.219, 0.128], [0.781, 0.219, 0.372], [0.387, 0.613, 0.053], [0.387, 0.613, 0.447], [0.459, 0.541, 0.750], [0.541, 0.459, 0.250], [0.613, 0.387, 0.553], [0.613, 0.387, 0.947], [0.083, 0.917, 0.086], [0.083, 0.917, 0.414], [0.257, 0.743, 0.250], [0.743, 0.257, 0.750], [0.917, 0.083, 0.586], [0.917, 0.083, 0.914]]
}

---

# 3
{
  "formula": "InTePb2",
  "functional": "PBE",
  "state": "optimized geometry",
  "de_polymorph_ev_per_atom": 0.002,
  "raw_formation_energy_ev_per_atom": -0.074,
  "m_tot_mub_per_fu": 0.00,
  "lattice_angstrom": [[5.930, -2.069, 0.000], [5.930, 2.069, 0.000], [-1.915, 0.000, 5.040]],
  "species": ["In", "Te", "Pb", "Pb"],
  "fractional_positions": [[0.000, 0.000, 0.000], [0.732, 0.732, 0.325], [0.248, 0.248, 0.823], [0.477, 0.477, 0.477]]
}

---

Number 1: E -4.5632 eV/atom. Number 2: E -4.4516 eV/atom. Number 3: E -3.3979 eV/atom.